Density functional theory data (PBE) for a relaxed structure of NaMn2Pd9.

As for the volume: 185.9 Å³/cell. The calculated formation energy is -0.151 eV per atom.

The space group is P4/mmm (No. 123) and the conventional cell measures 3.9610, 3.9610 and 11.8508 Å, with angles of 90.00, 90.00 and 90.00 degrees. The asymmetric unit holds Na at (0.0000, 0.0000, 0.0000), Mn at (0.0000, 0.0000, 0.3353), Pd at (0.0000, 0.5000, 0.1751), Pd at (0.0000, 0.5000, 0.5000), Pd at (0.5000, 0.5000, 0.0000) and Pd at (0.5000, 0.5000, 0.3368).